No. 1
10
Lattice="6.209 0.000 0.000 3.105 5.378 0.000 3.105 1.793 5.070" Properties=species:S:1:pos:R:3 comment="Cs2CuAgF6 (PBE-GGA, optimized geometry)" mass_density_g_cm3=5.4 magmom_total_mub_per_fu=1.543 raw_formation_energy_mev_per_atom=-1973 dft_energy_ev_per_atom=-3.96 pbc="T T T"
Cs 9.314 5.378 3.802
Cs 3.105 1.793 1.267
Cu 0.000 0.000 0.000
Ag 6.209 3.585 2.535
F 6.209 5.533 3.912
F 4.523 4.559 1.158
F 4.523 2.611 3.912
F 7.896 4.559 1.158
F 6.209 1.637 1.158
F 7.896 2.611 3.912

No. 2
20
Lattice="7.506 0.000 0.000 -2.502 7.077 0.000 -2.502 -3.538 6.129" Properties=species:S:1:pos:R:3 comment="Cs4Cu3AgF12 (PBE-GGA, optimized geometry)" mass_density_g_cm3=5.4 magmom_total_mub_per_fu=3.075 raw_formation_energy_mev_per_atom=-2001 dft_energy_ev_per_atom=-4.05 pbc="T T T"
Cs 1.251 1.769 3.064
Cs -1.251 -1.769 3.064
Cs 3.753 0.000 0.000
Cs -1.251 3.538 0.000
Cu 2.502 -1.769 3.064
Cu 2.502 3.538 0.000
Cu -2.502 1.769 3.064
Ag 0.000 0.000 0.000
F -1.251 0.885 4.597
F 3.611 -2.554 4.423
F 1.393 -0.985 1.706
F 3.753 2.654 1.532
F 3.611 5.107 0.000
F 1.393 1.970 0.000
F 3.753 0.000 3.064
F -1.251 3.538 3.064
F 1.251 -0.885 4.597
F -3.611 2.554 4.423
F 1.251 4.423 1.532
F -1.393 0.985 1.706

No. 3
7
Lattice="6.777 0.000 0.000 3.389 5.869 0.000 3.389 1.956 5.534" Properties=species:S:1:pos:R:3 comment="CsCuAgF4 (PBE-GGA, optimized geometry)" mass_density_g_cm3=2.9 magmom_total_mub_per_fu=1.006 raw_formation_energy_mev_per_atom=-1556 dft_energy_ev_per_atom=-3.74 pbc="T T T"
Cs 10.166 5.869 4.150
Cu 3.389 1.956 1.383
Ag 6.777 3.913 2.767
F 6.777 3.913 4.996
F 4.958 2.862 2.024
F 6.777 6.014 2.024
F 8.597 2.862 2.024

No. 4
5
Lattice="6.338 0.000 0.000 0.000 4.334 0.000 0.000 0.000 6.338" Properties=species:S:1:pos:R:3 comment="Cs2CuAgF (PBE-GGA, optimized geometry)" mass_density_g_cm3=4.4 magmom_total_mub_per_fu=0.000 raw_formation_energy_mev_per_atom=-508 dft_energy_ev_per_atom=-2.61 pbc="T T T"
Cs 0.000 0.000 3.169
Cs 3.169 0.000 0.000
Cu 0.000 2.167 0.000
Ag 3.169 2.167 3.169
F 0.000 0.000 0.000

No. 5
15
Lattice="-3.781 -3.837 2.891 5.508 -1.930 -1.823 2.918 2.095 6.599" Properties=species:S:1:pos:R:3 comment="Cs3Cu2AgF9 (PBE-GGA, optimized geometry)" mass_density_g_cm3=5.5 magmom_total_mub_per_fu=0.319 raw_formation_energy_mev_per_atom=-1982 dft_energy_ev_per_atom=-4.01 pbc="T T T"
Cs 4.344 -1.179 4.118
Cs 0.000 0.000 0.000
Cs 0.301 -2.494 3.548
Cu 2.865 -2.240 0.775
Cu 1.779 -1.433 6.892
Ag 1.459 1.047 3.299
F -0.118 -2.058 6.578
F 2.437 -2.954 5.733
F 1.636 -0.278 5.237
F 3.008 -3.394 2.429
F 2.208 -0.719 1.934
F 4.763 -1.614 1.088
F -1.891 -1.919 1.445
F 2.754 -0.965 -0.912
F 0.863 -2.884 0.534

No. 6
5
Lattice="7.197 0.000 0.000 0.000 4.489 0.000 0.000 0.000 7.197" Properties=species:S:1:pos:R:3 comment="Cs2CuAgGe (PBE-GGA, optimized geometry)" mass_density_g_cm3=3.6 magmom_total_mub_per_fu=0.000 ef_ev_per_atom=0.268 dft_energy_ev_per_atom=-2.39 pbc="T T T"
Cs 0.000 0.000 3.599
Cs 3.599 0.000 0.000
Ge 0.000 0.000 0.000
Cu 0.000 2.245 0.000
Ag 3.599 2.245 3.599

No. 7
14
Lattice="-5.321 4.860 -3.864 -1.047 -8.109 -0.106 -5.900 0.645 8.936" Properties=species:S:1:pos:R:3 comment="Cs3Cu2AgI8 (PBE-GGA, optimized geometry)" mass_density_g_cm3=4.4 magmom_total_mub_per_fu=0.000 raw_formation_energy_mev_per_atom=-730 dft_energy_ev_per_atom=-2.59 pbc="T T T"
Cs -6.192 -3.379 4.276
Cs -6.076 0.775 0.691
Cs 0.000 0.000 0.000
Cu -3.785 -3.642 0.631
Cu -8.483 1.038 4.336
Ag -2.950 0.322 4.468
I -8.309 -3.148 7.483
I -3.959 0.544 -2.516
I -3.668 -5.766 2.181
I -8.600 3.162 2.786
I -3.137 -1.658 2.234
I -9.130 -0.946 2.732
I -6.363 -3.304 0.223
I -5.905 0.700 4.743

No. 8
12
Lattice="-0.251 5.834 -6.482 1.211 -8.454 -1.784 -9.700 -1.234 -0.735" Properties=species:S:1:pos:R:3 comment="Cs3CuAg2I6 (PBE-GGA, optimized geometry)" mass_density_g_cm3=3.7 magmom_total_mub_per_fu=0.000 raw_formation_energy_mev_per_atom=-764 dft_energy_ev_per_atom=-2.57 pbc="T T T"
Cs -5.593 -4.495 -3.829
Cs -3.147 0.641 -5.173
Cs 0.000 0.000 0.000
Cu -4.850 -0.617 -0.368
Ag -6.727 0.186 -5.444
Ag -2.014 -4.040 -3.558
I -2.195 -3.497 -6.251
I -2.716 -2.074 -1.762
I -2.058 -6.665 -2.731
I -6.024 -1.780 -7.240
I -6.546 -0.357 -2.751
I -6.682 2.811 -6.271

No. 9
12
Lattice="8.528 0.000 0.000 -4.264 7.385 0.000 0.000 0.000 9.995" Properties=species:S:1:pos:R:3 comment="Cs3Cu2AgI6 (PBE-GGA, optimized geometry)" mass_density_g_cm3=3.7 magmom_total_mub_per_fu=0.000 raw_formation_energy_mev_per_atom=-805 dft_energy_ev_per_atom=-2.71 pbc="T T T"
Cs 0.000 4.923 6.487
Cs 4.264 2.462 3.508
Cs 0.000 0.000 0.000
Cu 4.264 2.462 7.052
Cu 0.000 4.923 2.943
Ag 0.000 0.000 4.997
I 2.187 6.186 3.022
I 0.000 2.398 3.022
I -2.187 6.186 3.022
I 4.264 4.987 6.973
I 2.077 1.199 6.973
I 6.451 1.199 6.973

No. 10
12
Lattice="4.428 0.000 0.000 0.000 10.314 -0.088 0.000 -2.831 10.262" Properties=species:S:1:pos:R:3 comment="CsCuAgI3 (PBE-GGA, optimized geometry)" mass_density_g_cm3=4.9 magmom_total_mub_per_fu=0.000 raw_formation_energy_mev_per_atom=-604 dft_energy_ev_per_atom=-2.68 pbc="T T T"
Cs 1.107 1.353 2.240
Cs 3.321 6.131 7.935
Cu 1.107 -0.979 5.871
Cu 3.321 8.462 4.303
Ag 1.107 6.406 1.045
Ag 3.321 1.078 9.129
I 3.321 8.509 1.594
I 1.107 -1.025 8.580
I 1.107 6.936 4.777
I 3.321 0.548 5.397
I 3.321 4.402 1.733
I 1.107 3.082 8.441

No. 11
15
Lattice="8.220 0.000 0.000 -4.110 7.118 0.000 0.000 0.000 10.081" Properties=species:S:1:pos:R:3 comment="Cs3CuAg2I9 (PBE-GGA, optimized geometry)" mass_density_g_cm3=5.1 magmom_total_mub_per_fu=0.000 raw_formation_energy_mev_per_atom=-675 dft_energy_ev_per_atom=-2.43 pbc="T T T"
Cs 0.000 4.746 6.721
Cs 0.000 0.000 0.000
Cs 4.110 2.373 3.360
Cu 0.000 0.000 5.040
Ag 0.000 4.746 1.735
Ag 4.110 2.373 8.346
I 6.225 1.152 6.659
I 4.110 4.815 6.659
I 1.995 1.152 6.659
I 2.115 5.967 3.422
I 0.000 2.303 3.422
I -2.115 5.967 3.422
I 4.110 0.000 0.000
I -2.055 3.559 0.000
I 2.055 3.559 0.000

No. 12
20
Lattice="9.663 0.044 0.061 -2.286 9.389 0.061 -2.286 -2.923 8.923" Properties=species:S:1:pos:R:3 comment="CsCu4Ag3I12 (PBE-GGA, optimized geometry)" mass_density_g_cm3=4.6 magmom_total_mub_per_fu=0.000 raw_formation_energy_mev_per_atom=-223 dft_energy_ev_per_atom=-2.44 pbc="T T T"
Cs 0.000 0.000 0.000
Cu 7.574 -0.678 4.522
Cu -2.483 2.007 8.251
Cu 2.546 8.436 0.793
Cu 2.546 3.255 4.522
Ag 4.527 4.060 0.061
Ag 2.850 -1.648 5.114
Ag -2.286 4.097 3.870
I 2.546 1.205 5.998
I 7.456 4.474 0.880
I -2.365 7.096 4.522
I 2.546 -1.804 8.164
I 3.016 -0.593 2.354
I 1.622 3.510 0.185
I -1.302 1.348 3.387
I 2.075 4.090 8.860
I 6.394 3.726 6.691
I 3.469 7.449 5.657
I 4.535 3.749 3.047
I 0.556 4.811 4.522